Entry 1:
This record from OQMD via LeMat-Bulk describes a relaxed structure of FeSiAgOs. The functional is GGA-PBE.

Cell and atoms, written as CIF:
```
data_FeSiAgOs
_chemical_formula_sum 'Fe4 Si4 Ag4 Os4'
_symmetry_space_group_name_H-M 'P 1'
_symmetry_Int_Tables_number 1
_cell_length_a 6.050
_cell_length_b 6.050
_cell_length_c 6.050
_cell_angle_alpha 90.00
_cell_angle_beta 90.00
_cell_angle_gamma 90.00
loop_
_symmetry_equiv_pos_as_xyz
'x,y,z'
loop_
_atom_site_label
_atom_site_fract_x
_atom_site_fract_y
_atom_site_fract_z
Fe1 0.000 0.000 0.000
Fe2 0.000 0.500 0.500
Fe3 0.500 0.000 0.500
Fe4 0.500 0.500 0.000
Si1 0.250 0.250 0.750
Si2 0.250 0.750 0.250
Si3 0.750 0.250 0.250
Si4 0.750 0.750 0.750
Ag1 0.250 0.250 0.250
Ag2 0.250 0.750 0.750
Ag3 0.750 0.250 0.750
Ag4 0.750 0.750 0.250
Os1 0.000 0.000 0.500
Os2 0.000 0.500 0.000
Os3 0.500 0.000 0.000
Os4 0.500 0.500 0.500
```

total magnetization: 0.60 μB per atom
space group: F-43m (216)
energy relative to the lowest polymorph listed for this composition: 0 meV per atom
calculated density: 11457 kg/m³

***

Entry 2:
This record from OQMD via LeMat-Bulk describes a relaxed structure of TlFeAgOs. The functional is GGA-PBE.

Cell and atoms, written as CIF:
```
data_TlFeAgOs
_chemical_formula_sum 'Tl4 Fe4 Ag4 Os4'
_symmetry_space_group_name_H-M 'P 1'
_symmetry_Int_Tables_number 1
_cell_length_a 6.449
_cell_length_b 6.449
_cell_length_c 6.449
_cell_angle_alpha 90.00
_cell_angle_beta 90.00
_cell_angle_gamma 90.00
loop_
_symmetry_equiv_pos_as_xyz
'x,y,z'
loop_
_atom_site_label
_atom_site_fract_x
_atom_site_fract_y
_atom_site_fract_z
Tl1 0.000 0.000 0.000
Tl2 0.000 0.500 0.500
Tl3 0.500 0.000 0.500
Tl4 0.500 0.500 0.000
Fe1 0.250 0.250 0.250
Fe2 0.250 0.750 0.750
Fe3 0.750 0.250 0.750
Fe4 0.750 0.750 0.250
Ag1 0.250 0.250 0.750
Ag2 0.250 0.750 0.250
Ag3 0.750 0.250 0.250
Ag4 0.750 0.750 0.750
Os1 0.000 0.000 0.500
Os2 0.000 0.500 0.000
Os3 0.500 0.000 0.000
Os4 0.500 0.500 0.500
```

total magnetization: 0.90 μB per atom
space group: F-43m (216)
energy relative to the lowest polymorph listed for this composition: 0 meV per atom
calculated density: 13830 kg/m³